(1)
Density functional theory data (meta-GGA SCAN) for a PBEsol-optimized structure of NaBrCl2.

abc: 4.3414 4.3414 22.0304
angles: 90.00 90.00 120.00
Space group R-3m (No. 166, hexagonal axes)
Asymmetric unit:
Na1 0.0000 0.0000 0.0000 [3 per cell]
Br1 0.0000 0.0000 0.5000 [3 per cell]
Cl1 0.0000 0.0000 0.3915 [6 per cell]

Output
Density of states at the Fermi level in states/eV/f.u.: 0.000
E_form (uncorrected) in eV per atom: -1.031

---

(2)
Density functional theory data (meta-GGA SCAN) for a PBEsol-optimized structure of NbPBrCl2.

abc: 4.7791 4.7791 5.2104
angles: 90.00 90.00 90.00
Space group P4/mmm (No. 123)
Asymmetric unit:
Nb1 0.0000 0.0000 0.0000 [1 per cell]
P1 0.5000 0.5000 0.0000 [1 per cell]
Br1 0.5000 0.5000 0.5000 [1 per cell]
Cl1 0.0000 0.5000 0.5000 [2 per cell]

Output
Density of states at the Fermi level in states/eV/f.u.: 1.980
E_form (uncorrected) in eV per atom: 1.119

---

(3)
Density functional theory data (meta-GGA SCAN) for a PBEsol-optimized structure of NbP2BrCl.

abc: 4.8539 4.8539 4.7366
angles: 90.00 90.00 90.00
Space group P4/mmm (No. 123)
Asymmetric unit:
Nb1 0.0000 0.0000 0.0000 [1 per cell]
P1 0.0000 0.5000 0.0000 [2 per cell]
Br1 0.5000 0.5000 0.5000 [1 per cell]
Cl1 0.0000 0.0000 0.5000 [1 per cell]

Output
Density of states at the Fermi level in states/eV/f.u.: 3.868
E_form (uncorrected) in eV per atom: 0.062

---

(4)
Density functional theory data (meta-GGA SCAN) for a PBEsol-optimized structure of Ni2BrCl.

abc: 4.3660 4.3660 3.1023
angles: 90.00 90.00 90.00
Space group P4/mmm (No. 123)
Asymmetric unit:
Ni1 0.0000 0.5000 0.0000 [2 per cell]
Br1 0.0000 0.0000 0.5000 [1 per cell]
Cl1 0.5000 0.5000 0.5000 [1 per cell]

Output
Density of states at the Fermi level in states/eV/f.u.: 1.661
Offset from the most stable computed form in eV/atom: 0.661
E_form (uncorrected) in eV per atom: 0.443

---

(5)
Density functional theory data (meta-GGA SCAN) for a PBEsol-optimized structure of Ni2BrCl.

abc: 3.5839 3.4201 6.1841
angles: 90.00 90.61 90.00
Space group Pm (No. 6)
Asymmetric unit:
Ni1 0.0000 0.0000 0.0000 [1 per cell]
Ni2 0.4950 0.5000 0.8978 [1 per cell]
Br1 0.6872 0.0000 0.6650 [1 per cell]
Cl1 0.1873 0.5000 0.2037 [1 per cell]

Output
Offset from the most stable computed form in eV/atom: 0.000
E_form (uncorrected) in eV per atom: -0.218

---

(6)
Density functional theory data (meta-GGA SCAN) for a PBEsol-optimized structure of NiPBrCl2.

abc: 4.3878 4.3878 4.7775
angles: 90.00 90.00 90.00
Space group P4/mmm (No. 123)
Asymmetric unit:
Ni1 0.0000 0.0000 0.0000 [1 per cell]
P1 0.0000 0.0000 0.5000 [1 per cell]
Br1 0.5000 0.5000 0.5000 [1 per cell]
Cl1 0.0000 0.5000 0.0000 [2 per cell]

Output
Density of states at the Fermi level in states/eV/f.u.: 3.555
E_form (uncorrected) in eV per atom: 0.161

---

| no. | E_tot (eV per formula unit) |
| --- | --- |
| 1 | -43.8 |
| 2 | -73.3 |
| 3 | -81.1 |
| 4 | -58.0 |
| 5 | -60.7 |
| 6 | -61.2 |